Compound: TbScO3
Source: the Alexandria database
Functional: GGA-PBEsol
Structure: relaxed

Calculated values
Fermi-level density of states, states/eV/cell: 0.0
Formation energy without anion corrections, meV/atom: -3600.4
M_tot, Bohr magnetons per cell: 0.000
Mass density, Mg/m³: 6.884
Total energy, eV per cell: -181.5

Cell lengths 5.7071, 7.8677, 5.4125 Å; angles 90.00, 90.00, 90.00 degrees
Last column: nearest neighbours and their distance in Å.
Space group Pnma (No. 62)
One atom of each set of equivalent atoms:
Tb1 0.0639 0.2500 0.0202 (multiplicity 4)  4 O 2.22-2.32
Sc1 0.0000 0.0000 0.5000 (multiplicity 4)  6 O 2.07-2.11
O1 0.0548 0.7500 0.3713 (multiplicity 4)  2 Sc 2.11, 2 Tb 2.22-2.32
O2 0.1944 0.5672 0.8082 (multiplicity 8)  2 Sc 2.07-2.10, 1 Tb 2.26



Compound: KNiRu3
Source: the Alexandria database
Functional: GGA-PBEsol
Structure: relaxed

Calculated values
Fermi-level density of states, states/eV/cell: 9.1
M_tot, Bohr magnetons per cell: 3.207
Mass density, Mg/m³: 7.869
Total energy, eV per cell: -21.6

Cell lengths 4.3903, 4.3903, 4.3903 Å; angles 90.00, 90.00, 90.00 degrees
Last column: nearest neighbours and their distance in Å.
Space group Pm-3m (No. 221)
One atom of each set of equivalent atoms:
K1 0.0000 0.0000 0.0000 (multiplicity 1)  6 Ru 2.20
Ni1 0.5000 0.5000 0.5000 (multiplicity 1)  12 Ru 3.10
Ru1 0.0000 0.0000 0.5000 (multiplicity 3)  2 K 2.20



Compound: Rb2LiAuF6
Source: the Alexandria database
Functional: GGA-PBEsol
Structure: relaxed

Calculated values
Fermi-level density of states, states/eV/cell: 0.8
Formation energy without anion corrections, meV/atom: -2112.4
M_tot, Bohr magnetons per cell: 8.025
Mass density, Mg/m³: 5.527
Total energy, eV per cell: -162.5

Cell lengths 8.3750, 8.3750, 8.3750 Å; angles 90.00, 90.00, 90.00 degrees
Last column: nearest neighbours and their distance in Å.
Space group Fm-3m (No. 225)
One atom of each set of equivalent atoms:
Rb1 0.2500 0.2500 0.2500 (multiplicity 8)  12 F 2.96
Li1 0.0000 0.0000 0.0000 (multiplicity 4)  6 F 2.07
Au1 0.0000 0.0000 0.5000 (multiplicity 4)  6 F 2.12
F1 0.0000 0.0000 0.2467 (multiplicity 24)  1 Li 2.07, 1 Au 2.12



Compound: Cd2CuNi
Source: the Alexandria database
Functional: GGA-PBEsol
Structure: relaxed

Calculated values
Fermi-level density of states, states/eV/cell: 1.7
Polymorph energy (0 for the lowest one), eV per formula unit: 0.00
M_tot, Bohr magnetons per cell: 0.000
Mass density, Mg/m³: 9.690
Total energy, eV per cell: -12.7

Cell lengths 4.3602, 4.3602, 3.1283 Å; angles 90.00, 90.00, 90.00 degrees
Last column: nearest neighbours and their distance in Å.
Space group P4/mmm (No. 123)
One atom of each set of equivalent atoms:
Cd1 0.0000 0.5000 0.0000 (multiplicity 2)  4 Ni 2.68, 4 Cu 2.68
Cu1 0.0000 0.0000 0.5000 (multiplicity 1)  8 Cd 2.68
Ni1 0.5000 0.5000 0.5000 (multiplicity 1)  8 Cd 2.68